# 1
Here is a relaxed AcTbAl2Au2 crystal from the Alexandria database. Energies are from PBE-GGA.

abc: 4.6206 4.6206 7.7964
angles: 90.00 90.00 120.00
Closest atoms and distances in Å follow each position.
Atoms (fractional coordinates):
Al 0.3333 0.6667 0.7044  3 Au 2.67
Tb 0.0000 0.0000 0.5000  6 Al 3.11, 6 Au 3.12
Au 0.6667 0.3333 0.7083  3 Al 2.67
Al 0.6667 0.3333 0.2956  3 Au 2.67
Au 0.3333 0.6667 0.2917  3 Al 2.67
Ac 0.0000 0.0000 0.0000  6 Au 3.51, 6 Al 3.53, 2 Tb 3.90

Calculated values
Density of states at the Fermi level, states/eV/f.u.: 5.31
Total moment, μB per formula unit: 0.0
Formation enthalpy at 0 K, eV per atom: -0.72

=====

# 2
Here is a relaxed Ac2AlTeAu6 crystal from the Alexandria database. Energies are from PBE-GGA.

abc: 7.5448 7.0616 7.0772
angles: 45.45 81.89 97.73
Closest atoms and distances in Å follow each position.
Atoms (fractional coordinates):
Au 0.7496 0.2783 0.0277  1 Al 2.55, 2 Au 2.73-2.74
Au 0.7463 0.7770 0.5281  1 Al 2.56, 2 Au 2.73-2.74
Au 0.5722 0.7430 0.1702  1 Al 2.74, 2 Au 3.00-3.01, 1 Te 3.07
Au 0.2537 0.2230 0.4719  1 Al 2.56, 2 Au 2.73-2.74
Al 0.5000 0.5000 0.0000  6 Au 2.55-2.74
Te 0.0000 0.0000 0.0000  6 Au 2.98-3.07
Ac 0.7947 0.2686 0.4756  7 Au 3.18-3.52, 2 Te 3.51-3.52
Ac 0.2053 0.7314 0.5244  7 Au 3.18-3.52, 2 Te 3.51-3.52
Au 0.2504 0.7217 0.9723  1 Al 2.55, 2 Au 2.73-2.74
Au 0.4278 0.2570 0.8298  1 Al 2.74, 2 Au 3.00-3.01, 1 Te 3.07

Calculated values
Density of states at the Fermi level, states/eV/f.u.: 3.49
Total moment, μB per formula unit: 0.0
Raw formation energy, eV/atom: -0.59

=====

# 3
Here is a relaxed Ac2Al3TlAu4 crystal from the Alexandria database. Energies are from PBE-GGA.

abc: 4.6275 4.6275 10.8947
angles: 90.00 90.00 90.00
Closest atoms and distances in Å follow each position.
Atoms (fractional coordinates):
Tl 0.5000 0.5000 0.5000  4 Au 2.84
Au 0.5000 0.5000 0.0000  4 Al 2.64
Al 0.5000 0.0000 0.8836  5 Au 2.53-2.64
Al 0.0000 0.5000 0.1164  5 Au 2.53-2.64
Au 0.0000 0.0000 0.0000  4 Al 2.64
Au 0.0000 0.5000 0.3490  1 Al 2.53
Au 0.5000 0.0000 0.6510  1 Al 2.53
Al 0.0000 0.0000 0.5000  4 Au 2.84
Ac 0.0000 0.5000 0.7587  8 Au 3.48-3.50, 6 Al 3.54-3.65, 2 Tl 3.65
Ac 0.5000 0.0000 0.2413  8 Au 3.48-3.50, 6 Al 3.54-3.65, 2 Tl 3.65

Calculated values
Density of states at the Fermi level, states/eV/f.u.: 5.83
Total moment, μB per formula unit: 0.0
Formation enthalpy at 0 K, eV per atom: -0.63

=====

# 4
Here is a relaxed AcAlTlAu crystal from the Alexandria database. Energies are from PBE-GGA.

abc: 5.2932 5.2932 5.2932
angles: 60.00 60.00 60.00
Closest atoms and distances in Å follow each position.
Atoms (fractional coordinates):
Ac 0.7500 0.7500 0.7500  4 Tl 3.24, 4 Au 3.24
Al 0.2500 0.2500 0.2500  4 Tl 3.24, 4 Au 3.24
Au 0.0000 0.0000 0.0000  4 Ac 3.24, 4 Al 3.24
Tl 0.5000 0.5000 0.5000  4 Ac 3.24, 4 Al 3.24

Calculated values
Density of states at the Fermi level, states/eV/f.u.: 1.74
Total moment, μB per formula unit: 0.0
Formation enthalpy at 0 K, eV per atom: -0.32

=====

# 5
Here is a relaxed AcTmAlAu crystal from the Alexandria database. Energies are from PBE-GGA.

abc: 5.3546 5.3546 5.3546
angles: 60.00 60.00 60.00
Closest atoms and distances in Å follow each position.
Atoms (fractional coordinates):
Ac 0.7500 0.7500 0.7500  4 Al 3.28, 4 Au 3.28
Al 0.5000 0.5000 0.5000  4 Ac 3.28, 4 Tm 3.28
Au 0.0000 0.0000 0.0000  4 Ac 3.28, 4 Tm 3.28
Tm 0.2500 0.2500 0.2500  4 Au 3.28, 4 Al 3.28

Calculated values
Density of states at the Fermi level, states/eV/f.u.: 3.13
Total moment, μB per formula unit: 0.0
Formation enthalpy at 0 K, eV per atom: -0.44

=====

# 6
Here is a relaxed Ac2TmAlAu6 crystal from the Alexandria database. Energies are from PBE-GGA.

abc: 7.2314 8.1348 6.2601
angles: 73.04 52.48 98.11
Closest atoms and distances in Å follow each position.
Atoms (fractional coordinates):
Au 0.7320 0.6422 0.3416  1 Al 2.56, 1 Au 2.75
Au 0.7739 0.8833 0.8289  1 Al 2.65, 1 Tm 2.92, 2 Au 2.92-2.96
Au 0.2261 0.1167 0.1711  1 Al 2.65, 1 Tm 2.92, 2 Au 2.92-2.96
Au 0.2680 0.3578 0.6584  1 Al 2.56, 1 Au 2.75
Au 0.7353 0.2220 0.9727  1 Al 2.85, 3 Au 2.87-3.14, 1 Tm 3.00, 2 Ac 3.10-3.16
Al 0.0000 0.0000 0.0000  6 Au 2.56-2.85
Tm 0.5000 0.5000 0.0000  6 Au 2.92-3.06
Ac 0.2620 0.7686 0.5380  8 Au 3.10-3.45
Au 0.2647 0.7780 0.0273  1 Al 2.85, 3 Au 2.87-3.14, 1 Tm 3.00, 2 Ac 3.10-3.16
Ac 0.7380 0.2314 0.4620  8 Au 3.10-3.45

Calculated values
Density of states at the Fermi level, states/eV/f.u.: 6.09
Total moment, μB per formula unit: 0.0
Formation enthalpy at 0 K, eV per atom: -0.62

=====

# 7
Here is a relaxed AcTmAl2Au4 crystal from the Alexandria database. Energies are from PBE-GGA.

abc: 4.5467 4.5467 10.2302
angles: 77.16 77.16 60.00
Closest atoms and distances in Å follow each position.
Atoms (fractional coordinates):
Tm 0.5000 0.5000 0.5000  8 Au 3.00-3.01, 6 Al 3.35
Al 0.7629 0.7629 0.7112  6 Au 2.70-2.78
Ac 0.0000 0.0000 0.0000  8 Au 3.26-3.49
Au 0.3984 0.3984 0.8047  3 Al 2.78, 1 Tm 3.01, 3 Au 3.05
Al 0.2371 0.2371 0.2888  6 Au 2.70-2.78
Au 0.1177 0.1177 0.6470  3 Al 2.70, 3 Tm 3.00
Au 0.6016 0.6016 0.1953  3 Al 2.78, 1 Tm 3.01, 3 Au 3.05
Au 0.8823 0.8823 0.3530  3 Al 2.70, 3 Tm 3.00

Calculated values
Density of states at the Fermi level, states/eV/f.u.: 4.90
Total moment, μB per formula unit: 0.0
Formation enthalpy at 0 K, eV per atom: -0.70

=====

# 8
Here is a relaxed Ac2TmAl4Au3 crystal from the Alexandria database. Energies are from PBE-GGA.

abc: 4.4789 4.4789 11.7667
angles: 90.00 90.00 90.00
Closest atoms and distances in Å follow each position.
Atoms (fractional coordinates):
Al 0.5000 0.5000 0.0000  4 Au 2.64
Au 0.0000 0.5000 0.1190  5 Al 2.59-2.64
Au 0.5000 0.0000 0.8810  5 Al 2.59-2.64
Al 0.0000 0.5000 0.3393  1 Au 2.59
Ac 0.0000 0.5000 0.7644  8 Al 3.39-3.56, 4 Au 3.45
Au 0.0000 0.0000 0.5000  4 Al 2.93, 4 Tm 3.17
Tm 0.5000 0.5000 0.5000  4 Al 2.93, 4 Au 3.17
Ac 0.5000 0.0000 0.2356  8 Al 3.39-3.56, 4 Au 3.45
Al 0.0000 0.0000 0.0000  4 Au 2.64
Al 0.5000 0.0000 0.6607  1 Au 2.59

Calculated values
Density of states at the Fermi level, states/eV/f.u.: 6.68
Total moment, μB per formula unit: 0.0
Formation enthalpy at 0 K, eV per atom: -0.62